## RbBe2Ag (PBE)

Data for an optimized crystal structure of RbBe2Ag.

Lattice parameters (Å, degrees): 4.9572 4.9572 4.9572 60.00 60.00 60.00
Element x y z (fractional)
Be: 0.2500 0.2500 0.2500
Be: 0.7500 0.7500 0.7500
Rb: 0.0000 0.0000 0.0000
Ag: 0.5000 0.5000 0.5000

Results
The energy of formation from the pure elements comes out at 1212 meV per atom. Its density of states at the Fermi level is 1.93 states/eV/cell. Its symmetry is No. 225. The relative energy among the computed polymorphs comes out at 546 meV/atom.